(1)
The following is a DFT calculation (GGA-PBEsol) of a relaxed K2CaPtF crystal.

extended XYZ file:
```
5
Lattice="4.0743 0.0000 0.0000 0.0000 6.4530 0.0000 0.0000 0.0000 6.4530" Properties=species:S:1:pos:R:3 pbc="T T T"
Ca 0.0000 0.0000 0.0000
K 0.0000 0.0000 3.2265
K 0.0000 3.2265 0.0000
Pt 2.0372 3.2265 3.2265
F 2.0372 0.0000 0.0000
```

Properties
ΔE_f (raw): -35 kJ/mol of atoms
Crystal system: tetragonal
Spin magnetization: 0.000 Bohr magnetons per cell
SG: P4/mmm

(2)
The following is a DFT calculation (GGA-PBEsol) of a relaxed ZnPtRh2 crystal.

extended XYZ file:
```
4
Lattice="2.7035 0.0000 0.0000 0.0000 4.6346 -0.0096 -1.3518 -0.8074 4.3797" Properties=species:S:1:pos:R:3 pbc="T T T"
Zn 0.0000 2.3173 -0.0048
Rh 0.0000 0.7559 2.2129
Rh 1.3518 3.0713 2.1572
Pt 1.3518 0.0000 0.0000
```

Properties
Crystal system: monoclinic
Spin magnetization: 0.000 Bohr magnetons per cell
SG: C2/m
Energy: -0.47074 Ry per atom

(3)
The following is a DFT calculation (GGA-PBEsol) of a relaxed Al3Cu4 crystal.

extended XYZ file:
```
7
Lattice="3.1031 0.0000 0.0000 0.0000 3.1031 0.0000 -1.5516 -1.5516 9.2558" Properties=species:S:1:pos:R:3 pbc="T T T"
Al 0.0000 0.0000 0.0000
Al 1.5516 1.5516 3.8271
Al 0.0000 0.0000 5.4287
Cu 1.5516 1.5516 6.6179
Cu 0.0000 0.0000 2.6379
Cu 1.5515 1.5515 1.3087
Cu 0.0000 0.0000 7.9471
```

Properties
Crystal system: tetragonal
Spin magnetization: 0.000 Bohr magnetons per cell
SG: I4/mmm
Energy: -0.32355 Ry per atom

(4)
The following is a DFT calculation (GGA-PBEsol) of a relaxed KBaAs2 crystal.

extended XYZ file:
```
4
Lattice="-1.8648 -4.1140 -0.7130 4.1983 -4.2464 -1.1425 0.8703 -3.7738 4.8346" Properties=species:S:1:pos:R:3 pbc="T T T"
As 2.8243 -6.9725 3.5168
As 0.3795 -5.1617 -0.5377
Ba -0.9324 -2.0570 -0.3565
K 2.5343 -4.0101 1.8460
```

Properties
Energy relative to the lowest polymorph listed for this composition: 122 meV per atom
Crystal system: monoclinic
Spin magnetization: 0.000 Bohr magnetons per cell
SG: C2/m

(5)
The following is a DFT calculation (GGA-PBEsol) of a relaxed ZrCdRu crystal.

extended XYZ file:
```
3
Lattice="4.4240 0.0000 0.0000 2.2120 3.8313 0.0000 2.2120 1.2771 3.6121" Properties=species:S:1:pos:R:3 pbc="T T T"
Cd 2.2120 1.2771 0.9030
Ru 0.0000 0.0000 0.0000
Zr 4.4240 2.5542 1.8061
```

Properties
Energy relative to the lowest polymorph listed for this composition: 902 meV per atom
Crystal system: cubic
Spin magnetization: 0.000 Bohr magnetons per cell
SG: F-43m

(6)
The following is a DFT calculation (GGA-PBEsol) of a relaxed MgSc2Pt crystal.

extended XYZ file:
```
4
Lattice="-0.5495 -2.8888 -1.6855 1.3583 -1.7537 2.5627 -6.1825 -0.5260 2.9170" Properties=species:S:1:pos:R:3 pbc="T T T"
Sc -1.3559 -0.1154 0.6397
Sc -4.8266 -0.4107 2.2772
Mg -2.6868 -2.5842 1.8971
Pt 0.4044 -2.3212 0.4386
```

Properties
Crystal system: tetragonal
Spin magnetization: 0.000 Bohr magnetons per cell
SG: P4/mmm
Energy: -0.45004 Ry per atom

(7)
The following is a DFT calculation (GGA-PBEsol) of a relaxed TaTi2TlAs crystal.

extended XYZ file:
```
5
Lattice="-0.8934 -4.7440 0.5473 4.8017 -0.8713 0.2863 -0.1814 0.5936 4.8489" Properties=species:S:1:pos:R:3 pbc="T T T"
Tl 1.8634 -2.5108 2.8412
Ti -0.0907 0.2968 2.4245
Ti 2.4008 -0.4356 0.1431
As -0.4467 -2.3720 0.2737
Ta 0.0000 0.0000 0.0000
```

Properties
Crystal system: tetragonal
Spin magnetization: 0.004 Bohr magnetons per cell
SG: P4/mmm
Energy: -0.48724 Ry per atom

(8)
The following is a DFT calculation (GGA-PBEsol) of a relaxed Zr3BiPd crystal.

extended XYZ file:
```
5
Lattice="5.2731 0.0000 0.0000 0.0000 5.2731 0.0000 0.0000 0.0000 5.2731" Properties=species:S:1:pos:R:3 pbc="T T T"
Zr 0.0000 2.6365 0.0000
Zr 0.0000 0.0000 2.6365
Zr 2.6365 0.0000 0.0000
Bi 0.0000 0.0000 0.0000
Pd 2.6365 2.6365 2.6365
```

Properties
Crystal system: cubic
Spin magnetization: 0.001 Bohr magnetons per cell
SG: Pm-3m
Energy: -0.45766 Ry per atom

What is the spin magnetization in the fifth record?
0.000 Bohr magnetons per cell

spin magnetization of number 1 (K2CaPtF)?
0.000 Bohr magnetons per cell